Entry 1:
Computed, not measured: a relaxed structure of PrAgS2 at the PBE level of DFT.

Cell and atoms, written as POSCAR:
```
PrAgS2
1.0
-2.163 3.603 0.776
-5.544 -2.768 -2.598
-3.548 -4.877 12.767
Pr Ag S
4 4 8
Cartesian
-4.917 0.635 1.000
-6.337 -4.677 9.944
-1.873 -0.895 4.822
-9.382 -3.148 6.123
-4.706 -2.916 6.313
-9.912 -4.359 10.270
-6.548 -1.126 4.632
-1.342 0.316 0.675
-2.917 -0.952 2.176
-8.337 -3.090 8.768
-7.022 -0.880 2.170
-4.232 -3.162 8.774
-4.698 -1.292 -1.209
-6.741 -3.866 5.048
-4.513 -0.177 5.896
-6.556 -2.750 12.153
```

N(E_F), states/eV/f.u.: 0.0
E_form (uncorrected), meV per atom: -1292.3
Total magnetization, μB per cell: 0.0


Entry 2:
Computed, not measured: a relaxed structure of PrAgS at the PBE level of DFT.

Cell and atoms, written as POSCAR:
```
PrAgS
1.0
4.740 0.000 0.000
2.370 4.105 0.000
2.370 1.368 7.961
S Ag Pr
2 2 2
Cartesian
2.370 1.368 1.087
7.110 4.105 6.874
2.370 1.368 3.931
7.110 4.105 4.030
4.740 2.737 6.127
4.740 2.737 1.834
```

N(E_F), states/eV/f.u.: 1.2
E_form (uncorrected), meV per atom: -1134.6
Total magnetization, μB per cell: 0.0


Entry 3:
Computed, not measured: a relaxed structure of Pr2AgS at the PBE level of DFT.

Cell and atoms, written as POSCAR:
```
Pr2AgS
1.0
4.234 0.000 0.000
0.000 4.050 -0.719
0.000 0.106 12.360
Pr Ag S
4 2 2
Cartesian
3.175 2.839 4.222
1.058 1.318 7.419
3.175 3.833 9.820
1.058 0.323 1.821
1.058 1.961 11.039
3.175 2.196 0.602
1.058 0.820 4.617
3.175 3.336 7.024
```

N(E_F), states/eV/f.u.: 2.9
E_form (uncorrected), meV per atom: -1112.3
Total magnetization, μB per cell: 0.0


Entry 4:
Computed, not measured: a relaxed structure of Pr6AgS5 at the PBE level of DFT.

Cell and atoms, written as POSCAR:
```
Pr6AgS5
1.0
7.065 -0.111 -1.331
-3.818 5.945 -1.331
0.137 0.246 7.173
Pr S Ag
6 5 1
Cartesian
2.772 0.521 1.159
4.402 3.450 3.352
0.950 1.707 4.631
2.434 4.373 -0.119
-1.018 2.630 1.159
0.612 5.559 3.352
5.359 0.999 2.256
3.432 1.910 -1.331
1.692 3.040 2.256
-0.186 3.924 -1.331
-1.975 5.081 2.256
0.000 0.000 0.000
```

N(E_F), states/eV/f.u.: 5.6
E_form (uncorrected), meV per atom: -1710.2
Total magnetization, μB per cell: 0.0


Entry 5:
Computed, not measured: a relaxed structure of Pr5AgS8 at the PBE level of DFT.

Cell and atoms, written as POSCAR:
```
Pr5AgS8
1.0
-6.266 -3.234 -2.502
2.126 -3.400 6.317
-1.256 7.255 1.332
Pr Ag S
5 1 8
Cartesian
-0.314 -2.007 3.479
-2.098 1.546 3.026
-3.991 4.374 0.663
-4.388 -2.674 3.124
-4.796 0.351 0.368
0.000 0.000 0.000
-2.164 1.865 -0.019
-2.850 -0.634 4.814
-2.607 -1.058 1.584
-4.835 2.321 2.460
-2.092 -4.155 4.097
-0.124 2.591 5.286
-5.653 -2.582 0.211
-1.258 4.132 2.152
```

N(E_F), states/eV/f.u.: 0.0
E_form (uncorrected), meV per atom: -1822.9
Total magnetization, μB per cell: 0.0


Entry 6:
Computed, not measured: a relaxed structure of Pr2AgS at the PBE level of DFT.

Cell and atoms, written as POSCAR:
```
Pr2AgS
1.0
-1.148 2.451 -3.061
1.587 -0.509 -3.730
-5.447 -4.131 -3.992
Pr Ag S
2 1 1
Cartesian
-4.230 -3.091 -3.616
-1.081 -0.401 -2.643
-2.511 -1.101 -5.393
-5.138 -2.822 -8.514
```

N(E_F), states/eV/f.u.: 3.2
E_form (uncorrected), meV per atom: -1012.1
Total magnetization, μB per cell: 0.0


Entry 7:
Computed, not measured: a relaxed structure of PrAg3S3 at the PBE level of DFT.

Cell and atoms, written as POSCAR:
```
PrAg3S3
1.0
7.369 0.000 0.000
3.684 6.381 0.000
3.684 2.127 6.809
Pr Ag S
2 6 6
Cartesian
7.369 4.254 6.801
7.369 4.254 0.008
8.563 6.425 4.320
8.652 2.134 4.320
4.891 4.203 4.320
9.846 4.305 2.489
6.086 6.374 2.489
6.174 2.083 2.489
4.947 4.175 1.584
8.649 2.197 1.584
8.511 6.392 1.584
6.227 2.117 5.226
6.089 6.312 5.226
9.791 4.334 5.226
```

E_form (uncorrected), meV per atom: -740.1
Total magnetization, μB per cell: 0.0


Entry 8:
Computed, not measured: a relaxed structure of PrAgS2 at the PBE level of DFT.

Cell and atoms, written as POSCAR:
```
PrAgS2
1.0
-1.264 -1.592 4.450
3.080 -2.810 2.559
2.230 1.798 3.966
Pr S Ag
1 2 1
Cartesian
0.000 0.000 0.000
1.011 -0.651 2.744
3.034 -1.953 8.231
2.023 -1.302 5.487
```

E_form (uncorrected), meV per atom: -1121.6
Total magnetization, μB per cell: 0.0


Entry 9:
Computed, not measured: a relaxed structure of Pr3AgS5 at the PBE level of DFT.

Cell and atoms, written as POSCAR:
```
Pr3AgS5
1.0
-3.145 7.040 -0.756
-0.170 -0.902 -7.693
-4.645 -5.834 4.688
Pr Ag S
6 2 10
Cartesian
-2.087 4.472 -1.688
-1.228 1.666 -6.760
-2.768 5.357 -5.678
-0.547 0.781 -2.770
-3.151 -1.383 0.232
-4.809 1.686 -3.992
-4.723 2.137 -0.146
-3.236 -1.834 -3.614
-3.538 -4.443 -0.756
-5.531 0.464 1.423
-3.933 -2.918 2.975
-5.136 -1.061 -2.308
-4.422 4.747 -3.005
-2.429 -0.161 -5.183
-4.027 3.222 -6.736
-2.824 1.365 -1.453
-1.657 3.069 -4.224
0.000 0.000 0.000
```

E_form (uncorrected), meV per atom: -1552.4
Total magnetization, μB per cell: 0.0


Entry 10:
Computed, not measured: a relaxed structure of Pr7AgS5 at the PBE level of DFT.

Cell and atoms, written as POSCAR:
```
Pr7AgS5
1.0
4.094 -0.003 0.000
-2.052 6.802 0.008
0.000 -0.029 24.790
Pr Ag S
14 2 10
Cartesian
-0.002 6.391 6.205
2.044 0.387 18.593
2.048 1.859 0.911
-0.006 4.919 23.887
-0.006 4.931 13.310
2.048 1.846 11.488
-0.001 2.461 4.296
2.043 4.317 20.502
2.043 4.321 16.694
-0.001 2.455 8.104
2.044 5.593 2.623
-0.002 1.186 22.175
-0.002 1.194 15.013
2.044 5.583 9.785
2.047 4.032 6.203
-0.005 2.746 18.596
0.000 -0.025 24.790
2.043 3.051 23.059
-0.001 3.727 1.739
2.048 0.602 8.891
-0.006 6.175 15.907
0.000 -0.011 12.395
-0.001 3.716 10.665
2.043 3.061 14.133
-0.006 6.169 21.292
2.048 0.609 3.506
```

N(E_F), states/eV/f.u.: 8.0
E_form (uncorrected), meV per atom: -1582.9
Total magnetization, μB per cell: 0.0


Entry 11:
Computed, not measured: a relaxed structure of Pr2AgS3 at the PBE level of DFT.

Cell and atoms, written as POSCAR:
```
Pr2AgS3
1.0
-2.911 -2.362 0.532
0.611 -1.712 -4.262
6.164 -3.481 4.800
Pr Ag S
2 1 3
Cartesian
0.280 -3.610 -1.028
3.584 -3.944 2.098
0.000 0.000 0.000
0.305 -0.856 -2.131
2.080 -5.592 0.026
1.784 -1.963 1.044
```

N(E_F), states/eV/f.u.: 1.4
E_form (uncorrected), meV per atom: -1477.8
Total magnetization, μB per cell: 0.0


Entry 12:
Computed, not measured: a relaxed structure of PrAgS2 at the PBE level of DFT.

Cell and atoms, written as POSCAR:
```
PrAgS2
1.0
4.326 0.000 0.000
2.163 3.747 0.000
2.163 1.249 7.562
Pr S Ag
1 2 1
Cartesian
4.326 2.498 3.781
2.163 1.249 5.204
6.489 3.747 2.358
0.000 0.000 0.000
```

N(E_F), states/eV/f.u.: 0.0
E_form (uncorrected), meV per atom: -1259.6
Total magnetization, μB per cell: 0.0


Entry 13:
Computed, not measured: a relaxed structure of Pr2AgS at the PBE level of DFT.

Cell and atoms, written as POSCAR:
```
Pr2AgS
1.0
4.182 0.000 0.000
2.091 3.621 0.000
2.091 1.207 7.226
Pr S Ag
2 1 1
Cartesian
6.272 3.621 5.634
2.091 1.207 1.593
0.000 0.000 0.000
4.182 2.414 3.613
```

N(E_F), states/eV/f.u.: 3.4
E_form (uncorrected), meV per atom: -1038.2
Total magnetization, μB per cell: 0.0


Entry 14:
Computed, not measured: a relaxed structure of PrAgS2 at the PBE level of DFT.

Cell and atoms, written as POSCAR:
```
PrAgS2
1.0
3.600 0.000 0.000
0.000 4.784 0.000
0.000 0.000 4.784
Pr S Ag
1 2 1
Cartesian
1.800 2.392 2.392
0.000 0.000 2.392
0.000 2.392 0.000
1.800 0.000 0.000
```

N(E_F), states/eV/f.u.: 2.3
E_form (uncorrected), meV per atom: -1032.6
Total magnetization, μB per cell: 0.0


Entry 15:
Computed, not measured: a relaxed structure of Pr2AgSbS5 at the PBE level of DFT.

Cell and atoms, written as POSCAR:
```
Pr2AgSbS5
1.0
4.057 0.000 0.000
-2.029 8.778 0.000
0.000 0.000 11.696
Pr Ag Sb S
4 2 2 10
Cartesian
2.029 6.765 9.429
0.000 2.299 8.016
0.000 2.013 3.581
2.029 6.479 2.168
2.029 4.815 5.455
0.000 3.963 11.303
2.029 1.565 11.607
0.000 7.213 5.759
0.000 6.433 0.020
2.029 3.724 9.658
2.029 0.296 9.248
0.000 5.435 7.790
2.029 8.370 6.894
2.029 2.345 5.868
0.000 5.054 3.811
0.000 8.482 3.400
2.029 3.343 1.942
0.000 0.408 1.046
```

N(E_F), states/eV/f.u.: 0.0
E_form (uncorrected), meV per atom: -1129.2
Total magnetization, μB per cell: 0.0


Entry 16:
Computed, not measured: a relaxed structure of Pr4AgSe2S at the PBE level of DFT.

Cell and atoms, written as POSCAR:
```
Pr4AgSe2S
1.0
-1.124 -1.697 -3.717
4.338 -5.827 1.348
-3.886 -5.199 3.549
Pr Ag Se S
4 1 2 1
Cartesian
0.394 -8.233 3.639
-1.066 -4.491 -2.459
1.641 -6.560 0.082
-2.314 -6.164 1.098
1.607 -3.762 -1.185
-3.886 -5.199 3.549
-2.505 -3.448 -0.084
0.226 -5.513 2.448
```

N(E_F), states/eV/f.u.: 5.6
E_form (uncorrected), meV per atom: -1453.3
Total magnetization, μB per cell: 0.0


Entry 17:
Computed, not measured: a relaxed structure of PrSiAg2S4 at the PBE level of DFT.

Cell and atoms, written as POSCAR:
```
PrSiAg2S4
1.0
7.869 -0.224 -0.274
-0.229 7.869 -0.274
-3.964 -3.966 5.654
Pr Si Ag S
2 2 4 8
Cartesian
-0.115 3.935 -0.137
5.773 1.728 2.416
1.838 1.840 2.553
3.906 -4.190 5.380
3.935 -0.112 -0.137
1.953 -2.095 2.690
-1.982 -1.983 2.827
3.820 3.823 -0.274
1.522 6.206 -0.204
3.502 0.089 2.483
0.174 3.590 2.623
2.154 -2.527 5.310
1.904 1.888 5.083
3.628 3.614 2.576
0.048 0.065 2.530
1.773 1.791 0.023
```

N(E_F), states/eV/f.u.: 1.7
E_form (uncorrected), meV per atom: -615.9
Total magnetization, μB per cell: 0.0


Entry 18:
Computed, not measured: a relaxed structure of Pr3SiAgS7 at the PBE level of DFT.

Cell and atoms, written as POSCAR:
```
Pr3SiAgS7
1.0
10.402 0.000 0.000
-5.201 9.008 0.000
0.000 0.000 5.803
Pr Si Ag S
6 2 2 14
Cartesian
-0.597 3.238 1.455
5.798 5.770 4.356
2.695 6.872 1.455
-2.098 7.906 1.455
7.299 1.102 4.356
2.506 2.136 4.356
0.000 6.005 3.846
5.201 3.003 0.945
0.000 0.000 1.682
0.000 0.000 4.583
0.000 6.005 0.159
5.201 3.003 3.061
1.513 4.726 3.004
3.688 4.282 0.103
0.352 7.955 3.004
-1.865 5.335 3.004
7.065 3.673 0.103
4.849 1.053 0.103
-0.461 2.410 4.430
5.662 6.598 1.529
3.344 7.404 4.430
-2.883 8.203 4.430
8.084 0.806 1.529
1.856 1.604 1.529
```

N(E_F), states/eV/f.u.: 0.0
E_form (uncorrected), meV per atom: -1509.9
Total magnetization, μB per cell: 0.0


Entry 19:
Computed, not measured: a relaxed structure of Pr2AgSnS5 at the PBE level of DFT.

Cell and atoms, written as POSCAR:
```
Pr2AgSnS5
1.0
-1.390 3.209 -2.072
-7.519 -3.945 2.924
0.392 6.386 9.625
Pr Ag Sn S
4 2 2 10
Cartesian
-6.671 4.947 8.150
-1.849 3.762 7.066
-1.804 1.394 3.370
-6.720 1.040 2.132
-4.997 3.386 4.609
-3.340 5.193 10.282
-1.737 7.516 8.817
-6.593 1.193 6.271
-5.673 4.647 11.004
-3.783 5.928 7.730
-0.651 6.571 6.626
-4.792 2.777 7.515
-8.253 3.152 6.431
-2.649 4.175 4.255
-4.673 0.735 4.273
-7.835 -0.415 4.615
-3.796 1.726 1.233
-0.390 0.452 0.962
```

N(E_F), states/eV/f.u.: 3.1
E_form (uncorrected), meV per atom: -1172.6
Total magnetization, μB per cell: 0.0


Entry 20:
Computed, not measured: a relaxed structure of Pr3Ag3SnS8 at the PBE level of DFT.

Cell and atoms, written as POSCAR:
```
Pr3Ag3SnS8
1.0
8.265 0.000 0.000
-4.132 7.149 -0.040
0.000 -4.762 6.198
Pr Ag Sn S
3 3 1 8
Cartesian
4.132 -2.381 3.099
2.066 1.193 3.079
-2.066 1.193 3.079
0.000 0.000 0.000
-2.066 3.574 -0.020
2.066 3.574 -0.020
0.000 -2.381 3.099
0.000 2.375 1.571
4.132 0.011 4.587
4.132 2.598 1.589
0.000 -0.212 4.569
2.258 5.839 1.570
1.875 -3.453 4.588
-2.258 5.839 1.570
6.390 -3.453 4.588
```

N(E_F), states/eV/f.u.: 1.3
E_form (uncorrected), meV per atom: -1040.1
Total magnetization, μB per cell: 0.0


no.,E (eV per atom)
1,-5.26
2,-5.05
3,-5.25
4,-6.06
5,-6.09
6,-5.15
7,-4.41
8,-5.09
9,-5.76
10,-5.96
11,-5.61
12,-5.23
13,-5.17
14,-5.00
15,-5.26
16,-5.59
17,-4.67
18,-5.80
19,-5.29
20,-5.03